# 1
Here is a relaxed structure of BaGe3Pd from the Alexandria database. Energies are from GGA-PBEsol.

Calculated values
V	106	Å³/f.u.
ΔE_f	-0.619	eV/atom

Lattice parameters (Å, degrees): 4.5409 4.5409 10.2729 90.00 90.00 90.00
With the nearest neighbours (Å) after each atom.
Space group I4mm (No. 107)
One atom of each set of equivalent atoms:
Ba: 0.0000 0.0000 0.0000 (multiplicity 2)  12 Ge 3.38-3.45, 5 Pd 3.54-3.64
Ge: 0.0000 0.0000 0.3979 (multiplicity 2)  1 Pd 2.55, 4 Ge 2.72
Ge: 0.0000 0.5000 0.2529 (multiplicity 4)  2 Pd 2.52, 2 Ge 2.72
Pd: 0.0000 0.0000 0.6461 (multiplicity 2)  5 Ge 2.52-2.55

# 2
Here is a relaxed structure of RbCd3Pd from the Alexandria database. Energies are from GGA-PBEsol.

Calculated values
V	143	Å³/f.u.
offset from the most stable computed form	0.0	meV/atom
ΔE_f	-0.117	eV/atom

Lattice parameters (Å, degrees): 5.2248 5.2248 5.2248 90.00 90.00 90.00
With the nearest neighbours (Å) after each atom.
Space group Pm-3m (No. 221)
One atom of each set of equivalent atoms:
Rb: 0.0000 0.0000 0.0000 (multiplicity 1)  12 Cd 3.69
Cd: 0.0000 0.5000 0.5000 (multiplicity 3)  2 Pd 2.61
Pd: 0.5000 0.5000 0.5000 (multiplicity 1)  6 Cd 2.61

# 3
Here is a relaxed structure of ZrNi2Cl2 from the Alexandria database. Energies are from GGA-PBEsol.

Calculated values
V	93	Å³/f.u.
uncorrected formation energy	-0.2163	eV per atom

Lattice parameters (Å, degrees): 3.1411 3.1411 18.8063 90.00 90.00 90.00
With the nearest neighbours (Å) after each atom.
Space group I4/mmm (No. 139)
One atom of each set of equivalent atoms:
Zr: 0.0000 0.0000 0.0000 (multiplicity 2)  8 Cl 2.69
Ni: 0.0000 0.5000 0.2500 (multiplicity 4)  4 Ni 2.22
Cl: 0.0000 0.0000 0.4193 (multiplicity 4)  4 Zr 2.69

# 4
Here is a relaxed structure of CdFe2Ni from the Alexandria database. Energies are from GGA-PBEsol.

Calculated values
V	51	Å³/f.u.
ΔE_f	0.279	eV/atom

Lattice parameters (Å, degrees): 3.8080 3.8080 7.0671 90.00 90.00 90.00
With the nearest neighbours (Å) after each atom.
Space group I-4m2 (No. 119)
One atom of each set of equivalent atoms:
Cd: 0.0000 0.0000 0.0000 (multiplicity 2)  8 Fe 2.60-2.69, 4 Ni 2.60
Fe: 0.0000 0.0000 0.5000 (multiplicity 2)  4 Fe 2.60, 4 Ni 2.60, 4 Cd 2.69
Fe: 0.0000 0.5000 0.2500 (multiplicity 2)  4 Cd 2.60, 4 Fe 2.60, 4 Ni 2.69
Ni: 0.0000 0.5000 0.7500 (multiplicity 2)  4 Cd 2.60, 8 Fe 2.60-2.69

# 5
Here is a relaxed structure of CaYMg6 from the Alexandria database. Energies are from GGA-PBEsol.

Calculated values
V	202	Å³/f.u.
offset from the most stable computed form	0.0	meV/atom
ΔE_f	-0.067	eV/atom

Lattice parameters (Å, degrees): 5.1923 6.7026 11.6337 90.00 90.00 90.00
With the nearest neighbours (Å) after each atom.
Space group Amm2 (No. 38)
One atom of each set of equivalent atoms:
Ca: 0.0000 0.0000 0.0000 (multiplicity 2)  12 Mg 3.29-3.36
Y: 0.5000 0.0000 0.6651 (multiplicity 2)  12 Mg 3.26-3.36
Mg: 0.0000 0.0000 0.4958 (multiplicity 2)  8 Mg 3.21-3.42, 2 Y 3.26, 2 Ca 3.35
Mg: 0.0000 0.2466 0.2509 (multiplicity 4)  8 Mg 3.20-3.42, 2 Y 3.26, 2 Ca 3.35-3.36
Mg: 0.5000 0.0000 0.1738 (multiplicity 2)  8 Mg 3.20-3.51, 2 Ca 3.29, 2 Y 3.35
Mg: 0.5000 0.2394 0.4117 (multiplicity 4)  8 Mg 3.20-3.51, 2 Ca 3.29, 2 Y 3.36

# 6
Here is a relaxed structure of BeB2PtSe from the Alexandria database. Energies are from GGA-PBEsol.

Calculated values
V	64	Å³/f.u.
uncorrected formation energy	1.1311	eV per atom

Lattice parameters (Å, degrees): 3.6127 3.6127 4.9123 90.00 90.00 90.00
With the nearest neighbours (Å) after each atom.
Space group P4/mmm (No. 123)
One atom of each set of equivalent atoms:
Be: 0.0000 0.0000 0.0000 (multiplicity 1)  4 B 1.81
B: 0.0000 0.5000 0.0000 (multiplicity 2)  2 Be 1.81
Pt: 0.5000 0.5000 0.5000 (multiplicity 1)  4 Se 2.55
Se: 0.0000 0.0000 0.5000 (multiplicity 1)  2 Be 2.46, 4 Pt 2.55

# 7
Here is a relaxed structure of Na3CrF from the Alexandria database. Energies are from GGA-PBEsol.

Calculated values
V	191	Å³/f.u.
uncorrected formation energy	0.3542	eV per atom

Lattice parameters (Å, degrees): 5.7553 5.7553 5.7553 90.00 90.00 90.00
With the nearest neighbours (Å) after each atom.
Space group Pm-3m (No. 221)
One atom of each set of equivalent atoms:
Na: 0.0000 0.0000 0.5000 (multiplicity 3)  2 Cr 2.88
Cr: 0.0000 0.0000 0.0000 (multiplicity 1)  6 Na 2.88
F: 0.5000 0.5000 0.5000 (multiplicity 1)  12 Na 4.07

# 8
Here is a relaxed structure of CrIrC3 from the Alexandria database. Energies are from GGA-PBEsol.

Calculated values
V	52	Å³/f.u.
ΔE_f	2.202	eV/atom

Lattice parameters (Å, degrees): 3.7312 3.7312 3.7312 90.00 90.00 90.00
With the nearest neighbours (Å) after each atom.
Space group Pm-3m (No. 221)
One atom of each set of equivalent atoms:
Cr: 0.0000 0.0000 0.0000 (multiplicity 1)  6 C 1.87
Ir: 0.5000 0.5000 0.5000 (multiplicity 1)  12 C 2.64
C: 0.0000 0.0000 0.5000 (multiplicity 3)  2 Cr 1.87

# 9
Here is a relaxed structure of BaCa2Au2 from the Alexandria database. Energies are from GGA-PBEsol.

Calculated values
V	149	Å³/f.u.
offset from the most stable computed form	0.0	meV/atom
ΔE_f	-0.573	eV/atom

Lattice parameters (Å, degrees): 4.7810 4.7810 13.0700 90.00 90.00 90.00
With the nearest neighbours (Å) after each atom.
Space group I4/mmm (No. 139)
One atom of each set of equivalent atoms:
Ba: 0.0000 0.0000 0.0000 (multiplicity 2)  8 Au 3.66, 8 Ca 4.05
Ca: 0.0000 0.5000 0.2500 (multiplicity 4)  4 Au 3.03, 4 Ca 3.38
Au: 0.0000 0.0000 0.3921 (multiplicity 4)  1 Au 2.82, 4 Ca 3.03

# 10
Here is a relaxed structure of CsLiHf3 from the Alexandria database. Energies are from GGA-PBEsol.

Calculated values
V	120	Å³/f.u.
ΔE_f	1.364	eV/atom

Lattice parameters (Å, degrees): 4.9384 4.9384 4.9384 90.00 90.00 90.00
With the nearest neighbours (Å) after each atom.
Space group Pm-3m (No. 221)
One atom of each set of equivalent atoms:
Cs: 0.0000 0.0000 0.0000 (multiplicity 1)  12 Hf 3.49
Li: 0.5000 0.5000 0.5000 (multiplicity 1)  6 Hf 2.47
Hf: 0.0000 0.5000 0.5000 (multiplicity 3)  2 Li 2.47

# 11
Here is a relaxed structure of Y2Cu2Bi from the Alexandria database. Energies are from GGA-PBEsol.

Calculated values
V	106	Å³/f.u.
ΔE_f	-0.455	eV/atom

Lattice parameters (Å, degrees): 7.2534 7.2534 4.0314 90.00 90.00 90.00
With the nearest neighbours (Å) after each atom.
Space group P4/mbm (No. 127)
One atom of each set of equivalent atoms:
Y: 0.1699 0.3301 0.0000 (multiplicity 4)  6 Cu 2.93-2.96
Cu: 0.1186 0.6186 0.5000 (multiplicity 4)  1 Cu 2.43
Bi: 0.0000 0.0000 0.5000 (multiplicity 2)  4 Cu 2.90

# 12
Here is a relaxed structure of TlGeN2 from the Alexandria database. Energies are from GGA-PBEsol.

Calculated values
V	51	Å³/f.u.
uncorrected formation energy	1.5056	eV per atom

Lattice parameters (Å, degrees): 5.8925 5.8925 5.8925 90.00 90.00 90.00
With the nearest neighbours (Å) after each atom.
Space group Fm-3m (No. 225)
One atom of each set of equivalent atoms:
Tl: 0.0000 0.0000 0.0000 (multiplicity 4)  8 N 2.55
Ge: 0.0000 0.0000 0.5000 (multiplicity 4)  8 N 2.55
N: 0.2500 0.2500 0.2500 (multiplicity 8)  4 Ge 2.55, 4 Tl 2.55

# 13
Here is a relaxed structure of CaMn2Fe from the Alexandria database. Energies are from GGA-PBEsol.

Calculated values
V	63	Å³/f.u.
offset from the most stable computed form	0.0	meV/atom
ΔE_f	0.558	eV/atom

Lattice parameters (Å, degrees): 2.9622 2.9786 7.1529 90.00 90.00 90.00
With the nearest neighbours (Å) after each atom.
Space group Pmmm (No. 47)
One atom of each set of equivalent atoms:
Ca: 0.0000 0.0000 0.0000 (multiplicity 1)  4 Ca 2.96-2.98, 8 Mn 3.13
Mn: 0.5000 0.5000 0.3235 (multiplicity 2)  4 Fe 2.45, 1 Mn 2.52
Fe: 0.0000 0.0000 0.5000 (multiplicity 1)  8 Mn 2.45

# 14
Here is a relaxed structure of CrRu2Au from the Alexandria database. Energies are from GGA-PBEsol.

Calculated values
V	54	Å³/f.u.
offset from the most stable computed form	124.7	meV/atom
ΔE_f	0.319	eV/atom

Lattice parameters (Å, degrees): 3.8150 3.8150 7.4779 90.00 90.00 90.00
With the nearest neighbours (Å) after each atom.
Space group I4/mmm (No. 139)
One atom of each set of equivalent atoms:
Cr: 0.0000 0.0000 0.0000 (multiplicity 2)  8 Ru 2.67, 4 Au 2.70
Ru: 0.0000 0.5000 0.2500 (multiplicity 4)  4 Au 2.67, 4 Cr 2.67, 4 Ru 2.70
Au: 0.0000 0.0000 0.5000 (multiplicity 2)  8 Ru 2.67, 4 Cr 2.70

# 15
Here is a relaxed structure of LaRhBr2 from the Alexandria database. Energies are from GGA-PBEsol.

Calculated values
V	117	Å³/f.u.
uncorrected formation energy	-1.0041	eV per atom
offset from the most stable computed form	0.0	meV/atom

Lattice parameters (Å, degrees): 11.3760 3.8114 5.4239 90.00 92.51 90.00
With the nearest neighbours (Å) after each atom.
Space group Cm (No. 8)
One atom of each set of equivalent atoms:
La: 0.0000 0.0000 0.0000 (multiplicity 2)  2 Rh 2.57
Rh: 0.3716 0.0000 0.8182 (multiplicity 2)  3 Br 2.47-2.76, 2 La 2.57
Br: 0.0023 0.5000 0.4661 (multiplicity 2)  1 Rh 2.47
Br: 0.2236 0.5000 0.0034 (multiplicity 2)  2 Rh 2.76

# 16
Here is a relaxed structure of BaSr from the Alexandria database. Energies are from GGA-PBEsol.

Calculated values
V	110	Å³/f.u.
offset from the most stable computed form	14.0	meV/atom
ΔE_f	0.013	eV/atom

Lattice parameters (Å, degrees): 4.2637 4.2637 42.0105 90.00 90.00 120.00
With the nearest neighbours (Å) after each atom.
Space group R-3m (No. 166, hexagonal axes)
One atom of each set of equivalent atoms:
Ba: 0.0000 0.0000 0.1237 (multiplicity 6)  9 Ba 4.26-4.37, 3 Sr 4.28
Sr: 0.0000 0.0000 0.3738 (multiplicity 6)  9 Sr 4.19-4.26, 3 Ba 4.28

# 17
Here is a relaxed structure of HfAsBr2Cl from the Alexandria database. Energies are from GGA-PBEsol.

Calculated values
V	123	Å³/f.u.
uncorrected formation energy	0.8606	eV per atom
offset from the most stable computed form	1274.7	meV/atom

Lattice parameters (Å, degrees): 4.9132 4.9132 5.0874 90.00 90.00 90.00
With the nearest neighbours (Å) after each atom.
Space group P4/mmm (No. 123)
One atom of each set of equivalent atoms:
Hf: 0.0000 0.0000 0.0000 (multiplicity 1)  4 As 3.47, 8 Br 3.54
As: 0.5000 0.5000 0.0000 (multiplicity 1)  2 Cl 2.54
Br: 0.0000 0.5000 0.5000 (multiplicity 2)  2 Cl 2.46
Cl: 0.5000 0.5000 0.5000 (multiplicity 1)  4 Br 2.46, 2 As 2.54

# 18
Here is a relaxed structure of ZrNi3Br from the Alexandria database. Energies are from GGA-PBEsol.

Calculated values
V	80	Å³/f.u.
uncorrected formation energy	0.6625	eV per atom

Lattice parameters (Å, degrees): 4.3110 4.3110 4.3110 90.00 90.00 90.00
With the nearest neighbours (Å) after each atom.
Space group Pm-3m (No. 221)
One atom of each set of equivalent atoms:
Zr: 0.0000 0.0000 0.0000 (multiplicity 1)  12 Ni 3.05
Ni: 0.0000 0.5000 0.5000 (multiplicity 3)  2 Br 2.16
Br: 0.5000 0.5000 0.5000 (multiplicity 1)  6 Ni 2.16

# 19
Here is a relaxed structure of LaNiMo2 from the Alexandria database. Energies are from GGA-PBEsol.

Calculated values
V	71	Å³/f.u.
offset from the most stable computed form	33.9	meV/atom
ΔE_f	0.468	eV/atom

Lattice parameters (Å, degrees): 2.7788 3.4511 7.4096 90.00 90.00 90.00
With the nearest neighbours (Å) after each atom.
Space group Pmmm (No. 47)
One atom of each set of equivalent atoms:
La: 0.0000 0.0000 0.0000 (multiplicity 1)  2 La 2.78
Ni: 0.0000 0.0000 0.5000 (multiplicity 1)  8 Mo 2.56, 2 Ni 2.78
Mo: 0.5000 0.5000 0.3282 (multiplicity 2)  3 Mo 2.55-2.78, 4 Ni 2.56

# 20
Here is a relaxed structure of K2RbEuV2O8 from the Alexandria database. Energies are from GGA-PBEsol.

Calculated values
V	237	Å³/f.u.
uncorrected formation energy	-2.4357	eV per atom

Lattice parameters (Å, degrees): 5.9871 5.9871 7.6359 90.00 90.00 120.00
With the nearest neighbours (Å) after each atom.
Space group P-3m1 (No. 164)
One atom of each set of equivalent atoms:
K: 0.3333 0.6667 0.1889 (multiplicity 2)  1 O 2.56
Rb: 0.0000 0.0000 0.5000 (multiplicity 1)  6 O 3.05
Eu: 0.0000 0.0000 0.0000 (multiplicity 1)  6 O 2.29
V: 0.3333 0.6667 0.7407 (multiplicity 2)  4 O 1.66-1.74
O: 0.1764 0.3529 0.8200 (multiplicity 6)  1 V 1.74
O: 0.3333 0.6667 0.5238 (multiplicity 2)  1 V 1.66